The following is a DFT calculation (GGA-PBE) of an optimized crystal structure of AgSbI.

Output
SG   P-1 (2)
ΔE_f (raw)   -8.71 kJ/mol of atoms
E above lowest polymorph   0.372 kcal/mol of atoms
D(E_F)   0.015 states/eV per atom

Lattice parameters (Å, degrees): 4.4388 5.9277 10.7079 91.45 101.40 123.54
Sites, in units of the cell vectors:
1 Sb 0.4051 0.6710 0.5574
2 Sb 0.5949 0.3290 0.4426
3 Ag 0.9155 0.2745 0.6844
4 Ag 0.0845 0.7255 0.3156
5 I 0.4350 0.2102 0.8376
6 I 0.5650 0.7898 0.1624

The following is a DFT calculation (GGA-PBE) of an optimized crystal structure of AgSbI2.

Output
SG   I-42d (122)
ΔE_f (raw)   18.78 kJ/mol of atoms
E above lowest polymorph   0.000 kcal/mol of atoms
D(E_F)   0.281 states/eV per atom

Lattice parameters (Å, degrees): 8.2038 8.2038 6.9948 54.10 54.10 90.00
Sites, in units of the cell vectors:
1 I 0.1478 0.6250 0.2500
2 I 0.8750 0.8522 0.7500
3 I 0.6022 0.1250 0.2500
4 I 0.3750 0.3978 0.7500
5 Sb 0.0000 0.0000 0.0000
6 Sb 0.7500 0.2500 0.5000
7 Ag 0.5000 0.5000 0.0000
8 Ag 0.2500 0.7500 0.5000